1.
Ac2CuSn6: optimized geometry, PBE.

Cell and atoms, written as CIF:
```
data_Ac2CuSn6
_cell_length_a 5.990
_cell_length_b 6.970
_cell_length_c 6.970
_cell_angle_alpha 60.01
_cell_angle_beta 90.03
_cell_angle_gamma 90.03
_symmetry_space_group_name_H-M 'P 1'
_symmetry_Int_Tables_number 1
_symmetry_space_group_name_Hall 'P 1'
loop_
_atom_site_label
_atom_site_fract_x
_atom_site_fract_y
_atom_site_fract_z
Sn1 0.302 0.827 0.345
Ac1 0.186 0.333 0.333
Sn2 0.698 0.172 0.172
Sn3 0.302 0.345 0.827
Ac2 0.814 0.667 0.667
Cu1 0.000 0.000 0.000
Sn4 0.302 0.828 0.828
Sn5 0.698 0.655 0.173
Sn6 0.698 0.173 0.655
```

Properties
As for the calculated formation energy: -0.38 eV per atom. As for the energy relative to the lowest polymorph listed for this composition: 0.57 eV/f.u.

=====

2.
KAcIn2I6: optimized geometry, PBE.

Cell and atoms, written as CIF:
```
data_KAcIn2I6
_cell_length_a 8.781
_cell_length_b 8.779
_cell_length_c 9.223
_cell_angle_alpha 61.57
_cell_angle_beta 61.56
_cell_angle_gamma 60.00
_symmetry_space_group_name_H-M 'P 1'
_symmetry_Int_Tables_number 1
_symmetry_space_group_name_Hall 'P 1'
loop_
_atom_site_label
_atom_site_fract_x
_atom_site_fract_y
_atom_site_fract_z
In1 0.518 0.518 0.446
I1 0.951 0.587 0.248
I2 0.706 0.129 0.757
I3 0.214 0.951 0.248
K1 0.815 0.815 0.556
I4 0.587 0.214 0.248
In2 0.011 0.011 0.965
I5 0.129 0.408 0.757
I6 0.408 0.706 0.757
Ac1 0.323 0.323 0.031
```

Properties
Its uncorrected formation energy is -10.96 eV per formula unit.

=====

3.
TaRe2Tc: optimized geometry, PBE.

Cell and atoms, written as CIF:
```
data_TaRe2Tc
_cell_length_a 5.225
_cell_length_b 5.225
_cell_length_c 5.225
_cell_angle_alpha 145.02
_cell_angle_beta 129.23
_cell_angle_gamma 63.14
_symmetry_space_group_name_H-M 'P 1'
_symmetry_Int_Tables_number 1
_symmetry_space_group_name_Hall 'P 1'
loop_
_atom_site_label
_atom_site_fract_x
_atom_site_fract_y
_atom_site_fract_z
Ta1 0.499 0.499 0.000
Re1 0.003 0.003 0.000
Tc1 0.744 0.244 0.500
Re2 0.254 0.754 0.500
```

Properties
As for the calculated formation energy: -0.05 eV per atom. As for the energy relative to the lowest polymorph listed for this composition: 0.09 eV/f.u.

=====

4.
LaAlFe2: optimized geometry, PBE.

Cell and atoms, written as CIF:
```
data_LaAlFe2
_cell_length_a 3.833
_cell_length_b 3.864
_cell_length_c 5.317
_cell_angle_alpha 68.68
_cell_angle_beta 90.00
_cell_angle_gamma 90.00
_symmetry_space_group_name_H-M 'P 1'
_symmetry_Int_Tables_number 1
_symmetry_space_group_name_Hall 'P 1'
loop_
_atom_site_label
_atom_site_fract_x
_atom_site_fract_y
_atom_site_fract_z
Fe1 0.000 0.202 0.971
La1 0.000 0.464 0.446
Al1 0.500 0.753 0.869
Fe2 0.500 0.081 0.214
```

Properties
As for the calculated formation energy: 0.06 eV per atom.

=====

no.,calculated density (g/cm3)
1,8.10
2,4.06
3,17.27
4,6.28